[1]
VASP calculation (PBE-GGA) on SbAs2W after structural relaxation.

abc: 3.2499 3.2499 7.2356
angles: 90.00 90.00 90.00
Last column: nearest neighbours and their distance in Å.
Space group P4/mmm (No. 123)
Symmetry-distinct sites (fractional):
1 Sb 0.0000 0.0000 0.0000  8 As 3.18, 4 Sb 3.25
2 As 0.5000 0.5000 0.3029  4 W 2.70, 1 As 2.85
3 W 0.0000 0.0000 0.5000  8 As 2.70

Values from the calculation:
E_form (uncorrected)   0.7 eV/f.u.

---

[2]
VASP calculation (PBE-GGA) on Pm3ThAg4 after structural relaxation.

abc: 3.6341 5.3472 10.7048
angles: 90.00 90.00 90.00
Last column: nearest neighbours and their distance in Å.
Space group Pmmm (No. 47)
Symmetry-distinct sites (fractional):
1 Pm 0.0000 0.0000 0.0000  8 Ag 3.21-3.23
2 Pm 0.0000 0.5000 0.2494  8 Ag 3.23-3.24
3 Th 0.0000 0.0000 0.5000  8 Ag 3.23-3.26
4 Ag 0.5000 0.0000 0.2475  6 Pm 3.21-3.23, 2 Th 3.26
5 Ag 0.5000 0.5000 0.0000  8 Pm 3.23
6 Ag 0.5000 0.5000 0.5000  4 Th 3.23, 4 Pm 3.24

Values from the calculation:
Final energy   -34.69 eV for the cell shown

---

[3]
VASP calculation (PBE-GGA) on SrLiAlAu after structural relaxation.

abc: 7.0768 7.0768 7.0768
angles: 90.00 90.00 90.00
Last column: nearest neighbours and their distance in Å.
Space group F-43m (No. 216)
Symmetry-distinct sites (fractional):
1 Sr 0.0000 0.0000 0.0000  4 Li 3.06, 4 Au 3.06
2 Li 0.2500 0.2500 0.7500  4 Al 3.06, 4 Sr 3.06
3 Al 0.0000 0.0000 0.5000  4 Au 3.06, 4 Li 3.06
4 Au 0.2500 0.2500 0.2500  4 Al 3.06, 4 Sr 3.06

Values from the calculation:
E above lowest polymorph   70 kJ/mol of formula units

---

[4]
VASP calculation (PBE-GGA) on LaScHg2Os after structural relaxation.

abc: 5.7465 5.7465 4.8466
angles: 90.00 90.00 90.00
Last column: nearest neighbours and their distance in Å.
Space group P4/mmm (No. 123)
Symmetry-distinct sites (fractional):
1 La 0.0000 0.0000 0.0000  2 Os 2.42
2 Sc 0.5000 0.5000 0.5000  8 Hg 3.76, 4 Os 4.06
3 Hg 0.0000 0.5000 0.0000  2 La 2.87
4 Os 0.0000 0.0000 0.5000  2 La 2.42

Values from the calculation:
Final energy   -17.64 eV for the cell shown